Entry one
The following is a PBE calculation of an optimized crystal structure of Na3GeBi, from Alexandria via LeMat-Bulk.

Properties
Symmetry: Ima2, No. 46
Calculated density (kg/m³): 3675
Crystal system: orthorhombic

a b c (Å): 7.8935 7.8935 7.8935
angles (deg): 93.78 102.61 135.72
Fractional coordinates of all 10 atoms:
Bi  0.4456  0.2722  0.6734
Bi  0.5988  0.7722  0.3266
Na  0.9971  0.7686  0.7285
Na  0.1959  0.3818  0.8458
Ge  0.4284  0.8857  0.0427
Na  0.5359  0.8818  0.6858
Na  0.0400  0.2686  0.2715
Na  0.1959  0.8501  0.3142
Na  0.5359  0.3501  0.1542
Ge  0.8430  0.3857  0.9573

=====

Entry two
The following is a PBE calculation of an optimized crystal structure of Na3GeBi, from Alexandria via LeMat-Bulk.

Properties
Symmetry: Pm-3m, No. 221
Calculated density (kg/m³): 2794
Crystal system: cubic

a b c (Å): 5.9286 5.9286 5.9286
angles (deg): 90.00 90.00 90.00
Last column: magnetic moment on the atom in μB.
Fractional coordinates of all 5 atoms:
Na  0.0000  0.0000  0.5000  0.00
Na  0.0000  0.5000  0.0000  0.00
Na  0.5000  0.0000  0.0000  0.00
Bi  0.0000  0.0000  0.0000  -0.04
Ge  0.5000  0.5000  0.5000  0.68

=====

Entry three
The following is a PBE calculation of an optimized crystal structure of Na3GeBi, from Alexandria via LeMat-Bulk.

Properties
Symmetry: Pm-3m, No. 221
Calculated density (kg/m³): 3528
Crystal system: cubic

a b c (Å): 5.4848 5.4848 5.4848
angles (deg): 90.00 90.00 90.00
Fractional coordinates of all 5 atoms:
Bi  0.5000  0.5000  0.5000
Na  0.0000  0.0000  0.5000
Ge  0.0000  0.0000  0.0000
Na  0.5000  0.0000  0.0000
Na  0.0000  0.5000  0.0000

=====

Which one sits at the bottom of the stability order? entry two does.

=====

Entry one
The following is a PBE calculation of an optimized crystal structure of Nb2GeBi, from Alexandria via LeMat-Bulk.

Properties
Symmetry: I-42d, No. 122
Calculated density (kg/m³): 8999
Crystal system: tetragonal

a b c (Å): 4.1652 4.1652 10.3707
angles (deg): 78.42 78.42 90.00
Fractional coordinates of all 8 atoms:
Bi  0.7500  0.2500  0.5000
Nb  0.1516  0.6250  0.2500
Nb  0.3750  0.4016  0.7500
Bi  0.0000  0.0000  0.0000
Nb  0.8750  0.8484  0.7500
Ge  0.2500  0.7500  0.5000
Nb  0.5984  0.1250  0.2500
Ge  0.5000  0.5000  0.0000

=====

Entry two
The following is a PBE calculation of an optimized crystal structure of Nb2GeBi, from Alexandria via LeMat-Bulk.

Properties
Symmetry: Fm-3m, No. 225
Calculated density (kg/m³): 10019
Crystal system: cubic

a b c (Å): 4.7851 4.7851 4.7851
angles (deg): 60.00 60.00 60.00
Fractional coordinates of all 4 atoms:
Nb  0.2500  0.2500  0.2500
Nb  0.7500  0.7500  0.7500
Ge  0.0000  0.0000  0.0000
Bi  0.5000  0.5000  0.5000

=====

Which one sits at the bottom of the stability order? entry one does.

=====

Entry one
The following is a PBE calculation of an optimized crystal structure of Nb2Ge2Bi, from Alexandria via LeMat-Bulk.

Properties
Symmetry: P4/mbm, No. 127
Calculated density (kg/m³): 9276
Crystal system: tetragonal

a b c (Å): 7.4642 7.4642 3.4707
angles (deg): 90.00 90.00 90.00
Fractional coordinates of all 10 atoms:
Ge  0.3725  0.8725  0.0000
Bi  0.5000  0.5000  0.0000
Nb  0.1599  0.6599  0.5000
Nb  0.8401  0.3401  0.5000
Ge  0.6275  0.1275  0.0000
Nb  0.3401  0.1599  0.5000
Ge  0.1275  0.3725  0.0000
Nb  0.6599  0.8401  0.5000
Ge  0.8725  0.6275  0.0000
Bi  0.0000  0.0000  0.0000

=====

Entry two
The following is a PBE calculation of an optimized crystal structure of Nb2Ge2Bi, from Alexandria via LeMat-Bulk.

Properties
Symmetry: P4/mbm, No. 127
Calculated density (kg/m³): 9144
Crystal system: tetragonal

a b c (Å): 7.5445 7.5445 3.4463
angles (deg): 90.00 90.00 90.00
Fractional coordinates of all 10 atoms:
Bi  0.0000  0.0000  0.0000
Nb  0.3493  0.8493  0.0000
Nb  0.8493  0.6507  0.0000
Nb  0.1507  0.3493  0.0000
Ge  0.1356  0.6356  0.5000
Ge  0.6356  0.8644  0.5000
Nb  0.6507  0.1507  0.0000
Bi  0.5000  0.5000  0.0000
Ge  0.3644  0.1356  0.5000
Ge  0.8644  0.3644  0.5000

=====

Which one sits at the bottom of the stability order? entry one does.

=====

Entry one
The following is a PBE calculation of an optimized crystal structure of NdGeBi2, from Alexandria via LeMat-Bulk.

Properties
Symmetry: R-3m, No. 166
Calculated density (kg/m³): 8090
Crystal system: trigonal

a b c (Å): 3.8200 3.8200 10.5438
angles (deg): 79.56 79.56 60.00
Fractional coordinates of all 4 atoms:
Bi  0.1040  0.1040  0.6879
Nd  0.0000  0.0000  0.0000
Bi  0.8960  0.8960  0.3121
Ge  0.5000  0.5000  0.5000

=====

Entry two
The following is a PBE calculation of an optimized crystal structure of NdGeBi2, from Alexandria via LeMat-Bulk.

Properties
Symmetry: P4/mmm, No. 123
Calculated density (kg/m³): 9327
Crystal system: tetragonal

a b c (Å): 5.0902 4.7121 4.7121
angles (deg): 90.00 90.00 90.00
Fractional coordinates of all 4 atoms:
Bi  0.0000  0.0000  0.5000
Ge  0.5000  0.0000  0.0000
Nd  0.5000  0.5000  0.5000
Bi  0.0000  0.5000  0.0000

=====

Which one sits at the bottom of the stability order? entry one does.

=====

Entry one
The following is a PBE calculation of an optimized crystal structure of Ni3GeBi, from Alexandria via LeMat-Bulk.

Properties
Symmetry: P2_1/c, No. 14
Calculated density (kg/m³): 9541
Crystal system: monoclinic

a b c (Å): 6.4159 6.6254 7.7675
angles (deg): 105.19 90.00 90.00
Fractional coordinates of all 20 atoms:
Bi  0.8103  0.6467  0.1343
Ni  0.0175  0.6503  0.4289
Ni  0.4825  0.6503  0.9289
Ge  0.7179  0.1004  0.4419
Ge  0.2179  0.8996  0.0581
Ni  0.9285  0.0030  0.6591
Ni  0.5175  0.3497  0.0711
Ni  0.3817  0.7207  0.2658
Bi  0.1897  0.3533  0.8657
Ge  0.2821  0.8996  0.5581
Bi  0.3103  0.3533  0.3657
Ni  0.8817  0.2793  0.2342
Ni  0.4285  0.9970  0.8409
Bi  0.6897  0.6467  0.6343
Ni  0.0715  0.9970  0.3409
Ni  0.1183  0.7207  0.7658
Ge  0.7821  0.1004  0.9419
Ni  0.9825  0.3497  0.5711
Ni  0.5715  0.0030  0.1591
Ni  0.6183  0.2793  0.7342

=====

Entry two
The following is a PBE calculation of an optimized crystal structure of Ni3GeBi, from Alexandria via LeMat-Bulk.

Properties
Symmetry: Pm-3m, No. 221
Calculated density (kg/m³): 7029
Crystal system: cubic

a b c (Å): 4.7640 4.7640 4.7640
angles (deg): 90.00 90.00 90.00
Fractional coordinates of all 5 atoms:
Ni  0.0000  0.0000  0.5000
Ni  0.5000  0.0000  0.0000
Ni  0.0000  0.5000  0.0000
Bi  0.0000  0.0000  0.0000
Ge  0.5000  0.5000  0.5000

=====

Entry three
The following is a PBE calculation of an optimized crystal structure of Ni3GeBi, from Alexandria via LeMat-Bulk.

Properties
Symmetry: Pm-3m, No. 221
Calculated density (kg/m³): 8768
Crystal system: cubic

a b c (Å): 4.4256 4.4256 4.4256
angles (deg): 90.00 90.00 90.00
Fractional coordinates of all 5 atoms:
Ge  0.0000  0.0000  0.0000
Ni  0.0000  0.0000  0.5000
Bi  0.5000  0.5000  0.5000
Ni  0.5000  0.0000  0.0000
Ni  0.0000  0.5000  0.0000

=====

Which one sits at the bottom of the stability order? entry two does.

=====

Entry one
The following is a PBE calculation of an optimized crystal structure of Ge3BiO, from Alexandria via LeMat-Bulk.

Properties
Symmetry: Pm-3m, No. 221
Calculated density (kg/m³): 7329
Crystal system: cubic

a b c (Å): 4.6471 4.6471 4.6471
angles (deg): 90.00 90.00 90.00
Fractional coordinates of all 5 atoms:
Ge  0.5000  0.0000  0.0000
Ge  0.0000  0.5000  0.0000
Bi  0.5000  0.5000  0.5000
O  0.0000  0.0000  0.0000
Ge  0.0000  0.0000  0.5000

=====

Entry two
The following is a PBE calculation of an optimized crystal structure of Ge3BiO, from Alexandria via LeMat-Bulk.

Properties
Symmetry: Pm-3m, No. 221
Calculated density (kg/m³): 4279
Crystal system: cubic

a b c (Å): 5.5598 5.5598 5.5598
angles (deg): 90.00 90.00 90.00
Fractional coordinates of all 5 atoms:
Ge  0.0000  0.5000  0.0000
Ge  0.5000  0.0000  0.0000
Ge  0.0000  0.0000  0.5000
Bi  0.0000  0.0000  0.0000
O  0.5000  0.5000  0.5000

=====

Which one sits at the bottom of the stability order? entry two does.

=====

Entry one
The following is a PBE calculation of an optimized crystal structure of GeBi3O6, from Alexandria via LeMat-Bulk.

Properties
Symmetry: P2_1/c, No. 14
Calculated density (kg/m³): 9089
Crystal system: monoclinic

a b c (Å): 5.5533 6.5709 7.9680
angles (deg): 90.00 90.97 90.00
Last column: magnetic moment on the atom in μB.
Fractional coordinates of all 20 atoms:
Bi  0.5000  0.5000  0.0000  0.23
Bi  0.5091  0.9618  0.7703  0.03
O  0.1064  0.1077  0.7872  0.01
O  0.8936  0.8923  0.2128  0.01
O  0.6795  0.1560  0.9878  0.02
Bi  0.0000  0.0000  0.5000  0.23
O  0.1795  0.3440  0.4878  0.02
O  0.3936  0.6077  0.7128  0.01
Bi  0.0091  0.5382  0.2703  0.03
Ge  0.5000  0.5000  0.5000  0.01
O  0.6064  0.3923  0.2872  0.01
O  0.3340  0.7093  0.3841  0.04
Bi  0.4909  0.0382  0.2297  0.03
O  0.3205  0.8440  0.0122  0.02
O  0.1660  0.2093  0.1159  0.04
Ge  0.0000  0.0000  0.0000  0.01
Bi  0.9909  0.4618  0.7297  0.03
O  0.6660  0.2907  0.6159  0.04
O  0.8340  0.7907  0.8841  0.04
O  0.8205  0.6560  0.5122  0.02

=====

Entry two
The following is a PBE calculation of an optimized crystal structure of GeBi3O6, from Alexandria via LeMat-Bulk.

Properties
Symmetry: Cmc2_1, No. 36
Calculated density (kg/m³): 8313
Crystal system: orthorhombic

a b c (Å): 6.0045 7.4006 7.4006
angles (deg): 104.89 90.00 90.00
Fractional coordinates of all 20 atoms:
O  0.0830  0.0361  0.9639
Ge  0.0136  0.1849  0.8151
Bi  0.4747  0.3034  0.0796
Bi  0.9747  0.6966  0.9204
O  0.2224  0.7867  0.2133
O  0.6453  0.5926  0.0828
Ge  0.5136  0.8151  0.1849
Bi  0.4733  0.4072  0.5928
Bi  0.9733  0.5928  0.4072
O  0.7224  0.2133  0.7867
O  0.5830  0.9639  0.0361
Bi  0.9747  0.0796  0.3034
O  0.2266  0.6641  0.6553
O  0.1453  0.4074  0.9172
O  0.6453  0.9172  0.4074
O  0.1453  0.0828  0.5926
O  0.2266  0.3447  0.3359
Bi  0.4747  0.9204  0.6966
O  0.7266  0.6553  0.6641
O  0.7266  0.3359  0.3447

=====

Which one sits at the bottom of the stability order? entry one does.

=====

Entry one
The following is a PBE calculation of an optimized crystal structure of Ge2BiO, from Alexandria via LeMat-Bulk.

Properties
Symmetry: Fm-3m, No. 225
Calculated density (kg/m³): 7902
Crystal system: cubic

a b c (Å): 4.7920 4.7920 4.7920
angles (deg): 60.00 60.00 60.00
Fractional coordinates of all 4 atoms:
Bi  0.5000  0.5000  0.5000
Ge  0.7500  0.7500  0.7500
Ge  0.2500  0.2500  0.2500
O  0.0000  0.0000  0.0000

=====

Entry two
The following is a PBE calculation of an optimized crystal structure of Ge2BiO, from Alexandria via LeMat-Bulk.

Properties
Symmetry: I-42d, No. 122
Calculated density (kg/m³): 6800
Crystal system: tetragonal

a b c (Å): 5.2872 5.2872 7.4714
angles (deg): 69.28 69.28 90.00
Fractional coordinates of all 8 atoms:
Bi  0.0000  0.0000  0.0000
Ge  0.2653  0.6250  0.2500
Bi  0.7500  0.2500  0.5000
Ge  0.4847  0.1250  0.2500
O  0.5000  0.5000  0.0000
Ge  0.3750  0.5153  0.7500
Ge  0.8750  0.7347  0.7500
O  0.2500  0.7500  0.5000

=====

Which one sits at the bottom of the stability order? entry one does.

=====

Entry one
The following is a PBE calculation of an optimized crystal structure of GeBiP2O, from Alexandria via LeMat-Bulk.

Properties
Symmetry: P4/mmm, No. 123
Calculated density (kg/m³): 6560
Crystal system: tetragonal

a b c (Å): 4.9658 4.9658 3.6908
angles (deg): 90.00 90.00 90.00
Fractional coordinates of all 5 atoms:
O  0.0000  0.0000  0.5000
P  0.5000  0.0000  0.0000
P  0.0000  0.5000  0.0000
Bi  0.5000  0.5000  0.5000
Ge  0.0000  0.0000  0.0000

=====

Entry two
The following is a PBE calculation of an optimized crystal structure of GeBiP2O, from Alexandria via LeMat-Bulk.

Properties
Symmetry: P4/mmm, No. 123
Calculated density (kg/m³): 5137
Crystal system: tetragonal

a b c (Å): 5.2939 5.2939 4.1476
angles (deg): 90.00 90.00 90.00
Fractional coordinates of all 5 atoms:
P  0.0000  0.5000  0.0000
Ge  0.5000  0.5000  0.5000
O  0.0000  0.0000  0.5000
P  0.5000  0.0000  0.0000
Bi  0.0000  0.0000  0.0000

=====

Which one sits at the bottom of the stability order? entry two does.

=====

Entry one
The following is a PBE calculation of an optimized crystal structure of Ge3BiP, from Alexandria via LeMat-Bulk.

Properties
Symmetry: Pm-3m, No. 221
Calculated density (kg/m³): 6434
Crystal system: cubic

a b c (Å): 4.9072 4.9072 4.9072
angles (deg): 90.00 90.00 90.00
Fractional coordinates of all 5 atoms:
Ge  0.0000  0.5000  0.0000
Ge  0.0000  0.0000  0.5000
Ge  0.5000  0.0000  0.0000
Bi  0.5000  0.5000  0.5000
P  0.0000  0.0000  0.0000

=====

Entry two
The following is a PBE calculation of an optimized crystal structure of Ge3BiP, from Alexandria via LeMat-Bulk.

Properties
Symmetry: Pm-3m, No. 221
Calculated density (kg/m³): 4613
Crystal system: cubic

a b c (Å): 5.4828 5.4828 5.4828
angles (deg): 90.00 90.00 90.00
Fractional coordinates of all 5 atoms:
P  0.5000  0.5000  0.5000
Ge  0.0000  0.0000  0.5000
Ge  0.5000  0.0000  0.0000
Ge  0.0000  0.5000  0.0000
Bi  0.0000  0.0000  0.0000

=====

Which one sits at the bottom of the stability order? entry two does.

=====

Entry one
The following is a PBE calculation of an optimized crystal structure of Ge2BiP, from Alexandria via LeMat-Bulk.

Properties
Symmetry: I-42d, No. 122
Calculated density (kg/m³): 6336
Crystal system: tetragonal

a b c (Å): 6.8574 6.8574 6.4770
angles (deg): 58.04 58.04 90.00
Fractional coordinates of all 8 atoms:
Ge  0.5656  0.1250  0.2500
P  0.5000  0.5000  0.0000
Ge  0.8750  0.8156  0.7500
Bi  0.7500  0.2500  0.5000
Ge  0.1844  0.6250  0.2500
P  0.2500  0.7500  0.5000
Ge  0.3750  0.4344  0.7500
Bi  0.0000  0.0000  0.0000

=====

Entry two
The following is a PBE calculation of an optimized crystal structure of Ge2BiP, from Alexandria via LeMat-Bulk.

Properties
Symmetry: Fm-3m, No. 225
Calculated density (kg/m³): 7478
Crystal system: cubic

a b c (Å): 4.9458 4.9458 4.9458
angles (deg): 60.00 60.00 60.00
Fractional coordinates of all 4 atoms:
Ge  0.7500  0.7500  0.7500
Bi  0.5000  0.5000  0.5000
P  0.0000  0.0000  0.0000
Ge  0.2500  0.2500  0.2500

=====

Which one sits at the bottom of the stability order? entry two does.